1.
Below is an optimized crystal structure of Al2V6Ga, with properties calculated at the PBE level.

It has space group P-1 (No. 2), with a = 2.618 Å, b = 6.773 Å, c = 7.335 Å, α = 98.65°, β = 92.95° and γ = 100.80°. Symmetry generates all atoms from Al at (0.088, 0.147, 0.267), V at (0.157, 0.501, 0.833), V at (0.295, 0.827, 0.389), V at (0.437, 0.183, 0.941) and Ga at (0.500, 0.500, 0.500).

2.
Below is an optimized crystal structure of YSc2Ag, with properties calculated at the PBE level.

It has space group P4/mmm (No. 123), with a = 3.386 Å, b = 3.386 Å, c = 8.533 Å, α = 90.00°, β = 90.00° and γ = 90.00°. Symmetry generates all atoms from Y at (0.000, 0.000, 0.000), Sc at (0.500, 0.500, 0.290) and Ag at (0.000, 0.000, 0.500).

no.,mass density (g/cm3),ΔE_f (meV per atom),energy relative to the lowest polymorph listed for this composition (eV per atom)
1,5.66,-157,0.000
2,4.87,-86,0.029